# MgVFeOs | Alexandria | PBE-GGA | optimized geometry
# M_tot = 0.9 μB/f.u.
# Raw total energy = -30.286 eV per formula unit
# Formation energy from the elements = 0.03 eV per atom
# Space-group type = F-43m
data_MgVFeOs
_chemical_formula_sum 'Mg1 V1 Fe1 Os1'
_space_group_name_H-M_alt 'P 1'
_space_group_IT_number 1
_cell_length_a 4.244
_cell_length_b 4.244
_cell_length_c 4.244
_cell_angle_alpha 60.00
_cell_angle_beta 60.00
_cell_angle_gamma 60.00
loop_
_space_group_symop_operation_xyz
'x,y,z'
loop_
_atom_site_label
_atom_site_type_symbol
_atom_site_fract_x
_atom_site_fract_y
_atom_site_fract_z
_atom_site_occupancy
Mg1 Mg 0.000 0.000 0.000 1
V1 V 0.500 0.500 0.500 1
Fe1 Fe 0.250 0.250 0.250 1
Os1 Os 0.750 0.750 0.750 1

***

# RbSn2Au4 | Alexandria | PBE-GGA | optimized geometry
# M_tot = 0.0 μB/f.u.
# Raw total energy = -23.040 eV per formula unit
# Formation energy from the elements = -0.14 eV per atom
# Energy relative to the lowest polymorph listed for this composition = 98 meV/atom
# Space-group type = P4_2/mnm
data_RbSn2Au4
_chemical_formula_sum 'Rb2 Sn4 Au8'
_space_group_name_H-M_alt 'P 1'
_space_group_IT_number 1
_cell_length_a 9.318
_cell_length_b 9.318
_cell_length_c 3.935
_cell_angle_alpha 90.00
_cell_angle_beta 90.00
_cell_angle_gamma 90.00
loop_
_space_group_symop_operation_xyz
'x,y,z'
loop_
_atom_site_label
_atom_site_type_symbol
_atom_site_fract_x
_atom_site_fract_y
_atom_site_fract_z
_atom_site_occupancy
Rb1 Rb 0.000 0.000 0.000 1
Rb2 Rb 0.500 0.500 0.500 1
Sn1 Sn 0.236 0.236 0.500 1
Sn2 Sn 0.264 0.736 0.000 1
Sn3 Sn 0.736 0.264 0.000 1
Sn4 Sn 0.764 0.764 0.500 1
Au1 Au 0.054 0.666 0.500 1
Au2 Au 0.166 0.446 0.000 1
Au3 Au 0.334 0.946 0.500 1
Au4 Au 0.446 0.166 0.000 1
Au5 Au 0.554 0.834 0.000 1
Au6 Au 0.666 0.054 0.500 1
Au7 Au 0.834 0.554 0.000 1
Au8 Au 0.946 0.334 0.500 1

***

# LiZnIr2 | Alexandria | PBE-GGA | optimized geometry
# M_tot = 0.0 μB/f.u.
# Raw total energy = -21.772 eV per formula unit
# Formation energy from the elements = -0.22 eV per atom
# Space-group type = Pmm2
data_LiZnIr2
_chemical_formula_sum 'Li1 Zn1 Ir2'
_space_group_name_H-M_alt 'P 1'
_space_group_IT_number 1
_cell_length_a 2.763
_cell_length_b 4.447
_cell_length_c 4.506
_cell_angle_alpha 90.00
_cell_angle_beta 90.00
_cell_angle_gamma 90.00
loop_
_space_group_symop_operation_xyz
'x,y,z'
loop_
_atom_site_label
_atom_site_type_symbol
_atom_site_fract_x
_atom_site_fract_y
_atom_site_fract_z
_atom_site_occupancy
Li1 Li 0.000 0.000 0.000 1
Zn1 Zn 0.500 0.500 0.878 1
Ir1 Ir 0.000 0.500 0.375 1
Ir2 Ir 0.500 0.000 0.500 1

***

# Os3PdS | Alexandria | PBE-GGA | optimized geometry
# M_tot = 7.8 μB/f.u.
# Raw total energy = -28.045 eV per formula unit
# Uncorrected formation energy = 288.8 kJ per mole of atoms
# Energy relative to the lowest polymorph listed for this composition = 1845 meV/atom
# Space-group type = Pm-3m
data_Os3PdS
_chemical_formula_sum 'Os3 Pd1 S1'
_space_group_name_H-M_alt 'P 1'
_space_group_IT_number 1
_cell_length_a 4.806
_cell_length_b 4.806
_cell_length_c 4.806
_cell_angle_alpha 90.00
_cell_angle_beta 90.00
_cell_angle_gamma 90.00
loop_
_space_group_symop_operation_xyz
'x,y,z'
loop_
_atom_site_label
_atom_site_type_symbol
_atom_site_fract_x
_atom_site_fract_y
_atom_site_fract_z
_atom_site_occupancy
Os1 Os 0.000 0.000 0.500 1
Os2 Os 0.000 0.500 0.000 1
Os3 Os 0.500 0.000 0.000 1
Pd1 Pd 0.000 0.000 0.000 1
S1 S 0.500 0.500 0.500 1